SrRhF5, optimized geometry, DFT PBE; total energy = -5.18 eV per atom; magnetization = 0.00 μB/f.u.
1.0
5.815 -0.075 -0.111
1.773 5.539 -0.111
2.544 1.831 7.227
F Sr Rh
10 2 2
Cartesian
6.237 4.277 0.621
3.895 3.018 6.383
3.112 4.046 0.087
2.826 1.821 2.770
6.129 0.830 1.696
4.004 6.465 5.309
7.306 5.474 4.235
7.020 3.249 6.917
4.036 4.711 3.304
6.097 2.584 3.701
4.606 2.946 1.696
5.527 4.348 5.309
1.272 0.916 3.613
0.000 0.000 0.000